Compound: PaSnMoO6
Source: Alexandria via LeMat-Bulk
Functional: PBE+U
Structure: relaxed

Results
The energy is -7.823 eV per atom. The total moment comes out at 1.02 μB per formula unit.

Cell: 5.6755 5.6755 10.0174 Å, 90.00 90.00 120.00°
Last column: nearest neighbours and their distance in Å.
Space group P-31c (No. 163)
Asymmetric unit:
Pa (0.3333, 0.6667, 0.2500) x2  6 O 2.19
Sn (0.0000, 0.0000, 0.0000) x2  6 O 2.53
Mo (0.3333, 0.6667, 0.7500) x2  6 O 2.02
O (0.0220, 0.3771, 0.6430) x12  1 Mo 2.02, 1 Pa 2.19